Entry 1:
TlTc2RhO8: relaxed, PBE.

Output
ΔE_f (raw), eV/atom: -1.15
Calculated total energy, eV per atom: -6.989

Unit cell a=5.340 b=5.340 c=8.310 alpha=90.00 beta=90.00 gamma=120.00
Fractional coordinates of all 12 atoms:
Tl  0.000  0.000  0.000
Tc  0.667  0.333  0.283
Tc  0.333  0.667  0.717
Rh  0.000  0.000  0.500
O  0.333  0.667  0.928
O  0.331  0.290  0.354
O  0.710  0.041  0.354
O  0.667  0.333  0.072
O  0.290  0.959  0.646
O  0.669  0.710  0.646
O  0.041  0.331  0.646
O  0.959  0.669  0.354



Entry 2:
UTcRhO6: relaxed, PBE.

Output
ΔE_f (raw), eV/atom: -1.84
Calculated total energy, eV per atom: -8.373

Unit cell a=5.282 b=5.282 c=8.987 alpha=90.00 beta=90.00 gamma=120.00
Site moments in Bohr magnetons follow the coordinates.
Fractional coordinates of all 18 atoms:
U  0.333  0.667  0.250  0.26
U  0.667  0.333  0.750  0.26
Tc  0.667  0.333  0.250  1.34
Tc  0.333  0.667  0.750  1.34
Rh  0.000  0.000  0.000  0.07
Rh  0.000  0.000  0.500  0.07
O  0.673  0.659  0.126  0.04
O  0.987  0.327  0.126  0.04
O  0.327  0.987  0.626  0.04
O  0.013  0.673  0.874  0.04
O  0.341  0.327  0.374  0.04
O  0.987  0.659  0.374  0.04
O  0.659  0.987  0.874  0.04
O  0.673  0.013  0.374  0.04
O  0.013  0.341  0.626  0.04
O  0.341  0.013  0.126  0.04
O  0.659  0.673  0.626  0.04
O  0.327  0.341  0.874  0.04